# PBE Co2OsW, relaxed
data_Co2OsW
_chemical_formula_sum 'Co4 Os2 W2'
_symmetry_space_group_name_H-M 'P 1'
_symmetry_Int_Tables_number 1
_cell_length_a 8.670
_cell_length_b 2.689
_cell_length_c 4.611
_cell_angle_alpha 90.00
_cell_angle_beta 100.52
_cell_angle_gamma 90.00
loop_
_symmetry_equiv_pos_as_xyz
'x,y,z'
loop_
_atom_site_label
_atom_site_type_symbol
_atom_site_fract_x
_atom_site_fract_y
_atom_site_fract_z
Co1 Co 0.247 0.000 0.240
Co2 Co 0.253 0.500 0.760
Co3 Co 0.747 0.500 0.240
Co4 Co 0.753 0.000 0.760
Os1 Os 0.000 0.500 0.000
Os2 Os 0.500 0.000 0.000
W1 W 0.000 0.000 0.500
W2 W 0.500 0.500 0.500
# symmetry = C2/m
# E_form = 0.18 eV/atom
# energy relative to the lowest polymorph listed for this composition = 0.176 eV per atom

***

# PBE CoOsW2, relaxed
data_CoOsW2
_chemical_formula_sum 'Co2 Os2 W4'
_symmetry_space_group_name_H-M 'P 1'
_symmetry_Int_Tables_number 1
_cell_length_a 3.882
_cell_length_b 3.882
_cell_length_c 7.601
_cell_angle_alpha 90.00
_cell_angle_beta 90.00
_cell_angle_gamma 90.00
loop_
_symmetry_equiv_pos_as_xyz
'x,y,z'
loop_
_atom_site_label
_atom_site_type_symbol
_atom_site_fract_x
_atom_site_fract_y
_atom_site_fract_z
Co1 Co 0.000 0.000 0.000
Co2 Co 0.500 0.500 0.500
Os1 Os 0.000 0.000 0.500
Os2 Os 0.500 0.500 0.000
W1 W 0.000 0.500 0.250
W2 W 0.000 0.500 0.750
W3 W 0.500 0.000 0.250
W4 W 0.500 0.000 0.750
# symmetry = I4/mmm
# E_form = 0.04 eV/atom
# energy relative to the lowest polymorph listed for this composition = 0.000 eV per atom

***

# PBE CoOs2W, relaxed
data_CoOs2W
_chemical_formula_sum 'Co2 Os4 W2'
_symmetry_space_group_name_H-M 'P 1'
_symmetry_Int_Tables_number 1
_cell_length_a 3.851
_cell_length_b 3.851
_cell_length_c 7.511
_cell_angle_alpha 90.00
_cell_angle_beta 90.00
_cell_angle_gamma 90.00
loop_
_symmetry_equiv_pos_as_xyz
'x,y,z'
loop_
_atom_site_label
_atom_site_type_symbol
_atom_site_fract_x
_atom_site_fract_y
_atom_site_fract_z
Co1 Co 0.000 0.000 0.000
Co2 Co 0.500 0.500 0.500
Os1 Os 0.000 0.500 0.250
Os2 Os 0.000 0.500 0.750
Os3 Os 0.500 0.000 0.250
Os4 Os 0.500 0.000 0.750
W1 W 0.000 0.000 0.500
W2 W 0.500 0.500 0.000
# symmetry = I4/mmm
# E_form = 0.07 eV/atom
# energy relative to the lowest polymorph listed for this composition = 0.067 eV per atom

***

Ρ for the records above, in order: 15.46, 17.89, 18.58 g cm⁻³